RuSe2 after structural relaxation. Source: Alexandria via LeMat-Bulk, functional PBEsol. Values from VASP.

Results
Space-group type ... P6_3/mmc, No. 194
Uncorrected formation energy ... 0.470 eV per atom
V ... 97.7 Å³/cell
Total magnetization ... 0.00 μB per atom
Uncorrected energy ... -16.5 eV per formula unit
Crystal system ... hexagonal

Structure (Quantum ESPRESSO input):
```
&SYSTEM
  ibrav = 0, nat = 6, ntyp = 2
/
ATOMIC_SPECIES
Ru 101.07 Ru.upf
Se 78.96 Se.upf
ATOMIC_POSITIONS crystal
Ru 0.667 0.333 0.750
Ru 0.333 0.667 0.250
Se 0.000 0.000 0.000
Se 0.000 0.000 0.500
Se 0.667 0.333 0.250
Se 0.333 0.667 0.750
CELL_PARAMETERS angstrom
4.476 0.000 0.000
-2.238 3.876 0.000
0.000 0.000 5.634
```

---

RuSe2 after structural relaxation. Source: Alexandria via LeMat-Bulk, functional PBEsol. Values from VASP.

Results
Space-group type ... Pa-3, No. 205
Uncorrected formation energy ... -0.486 eV per atom
V ... 207.1 Å³/cell
Total magnetization ... 0.00 μB per atom
Uncorrected energy ... -19.3 eV per formula unit
Crystal system ... cubic

Structure (Quantum ESPRESSO input):
```
&SYSTEM
  ibrav = 0, nat = 12, ntyp = 2
/
ATOMIC_SPECIES
Ru 101.07 Ru.upf
Se 78.96 Se.upf
ATOMIC_POSITIONS crystal
Ru 0.000 0.000 0.000
Ru 0.500 0.000 0.500
Ru 0.000 0.500 0.500
Ru 0.500 0.500 0.000
Se 0.379 0.379 0.379
Se 0.121 0.621 0.879
Se 0.621 0.879 0.121
Se 0.879 0.121 0.621
Se 0.621 0.621 0.621
Se 0.879 0.379 0.121
Se 0.379 0.121 0.879
Se 0.121 0.879 0.379
CELL_PARAMETERS angstrom
5.917 0.000 0.000
0.000 5.917 0.000
0.000 0.000 5.917
```

---

SiRu3Se after structural relaxation. Source: Alexandria via LeMat-Bulk, functional PBEsol. Values from VASP.

Results
Space-group type ... Pm-3m, No. 221
Uncorrected formation energy ... 0.958 eV per atom
Energy above the lowest structure with this stoichiometry ... 0.0 meV/atom
V ... 82.6 Å³/cell
Total magnetization ... 0.00 μB per atom
Uncorrected energy ... -35.3 eV per formula unit
Crystal system ... cubic

Structure (Quantum ESPRESSO input):
```
&SYSTEM
  ibrav = 0, nat = 5, ntyp = 3
/
ATOMIC_SPECIES
Ru 101.07 Ru.upf
Si 28.09 Si.upf
Se 78.96 Se.upf
ATOMIC_POSITIONS crystal
Ru 0.000 0.500 0.000
Ru 0.000 0.000 0.500
Ru 0.500 0.000 0.000
Si 0.000 0.000 0.000
Se 0.500 0.500 0.500
CELL_PARAMETERS angstrom
-3.467 -2.632 0.140
0.902 -1.403 -4.023
2.477 -3.173 1.662
```

---

Si2RuSe after structural relaxation. Source: Alexandria via LeMat-Bulk, functional PBEsol. Values from VASP.

Results
Space-group type ... Fmmm, No. 69
Uncorrected formation energy ... 0.208 eV per atom
V ... 61.8 Å³/cell
Total magnetization ... 0.00 μB per atom
Uncorrected energy ... -24.7 eV per formula unit
Crystal system ... orthorhombic

Structure (Quantum ESPRESSO input):
```
&SYSTEM
  ibrav = 0, nat = 4, ntyp = 3
/
ATOMIC_SPECIES
Ru 101.07 Ru.upf
Se 78.96 Se.upf
Si 28.09 Si.upf
ATOMIC_POSITIONS crystal
Ru 0.500 0.000 0.000
Se 0.000 0.500 0.000
Si 0.000 0.000 0.500
Si 0.500 0.500 0.500
CELL_PARAMETERS angstrom
-0.339 2.674 2.829
0.286 -3.217 2.197
4.110 0.696 -2.424
```

---

Si2RuSe after structural relaxation. Source: Alexandria via LeMat-Bulk, functional PBEsol. Values from VASP.

Results
Space-group type ... I4/mmm, No. 139
Uncorrected formation energy ... 0.291 eV per atom
V ... 57.4 Å³/cell
Total magnetization ... 0.00 μB per atom
Uncorrected energy ... -24.4 eV per formula unit
Crystal system ... tetragonal

Structure (Quantum ESPRESSO input):
```
&SYSTEM
  ibrav = 0, nat = 4, ntyp = 3
/
ATOMIC_SPECIES
Ru 101.07 Ru.upf
Se 78.96 Se.upf
Si 28.09 Si.upf
ATOMIC_POSITIONS crystal
Ru 0.500 0.500 0.000
Se 0.000 0.000 0.000
Si 0.750 0.250 0.500
Si 0.250 0.750 0.500
CELL_PARAMETERS angstrom
3.970 0.000 0.000
0.000 3.970 0.000
-1.985 -1.985 3.640
```

---

SiRuSe after structural relaxation. Source: Alexandria via LeMat-Bulk, functional PBEsol. Values from VASP.

Results
Space-group type ... F-43m, No. 216
Uncorrected formation energy ... -0.094 eV per atom
V ... 49.2 Å³/cell
Total magnetization ... 0.00 μB per atom
Uncorrected energy ... -20.1 eV per formula unit
Crystal system ... cubic

Structure (Quantum ESPRESSO input):
```
&SYSTEM
  ibrav = 0, nat = 3, ntyp = 3
/
ATOMIC_SPECIES
Ru 101.07 Ru.upf
Si 28.09 Si.upf
Se 78.96 Se.upf
ATOMIC_POSITIONS crystal
Ru 0.250 0.250 0.250
Si 0.500 0.500 0.500
Se 0.000 0.000 0.000
CELL_PARAMETERS angstrom
4.112 0.000 0.000
2.056 3.561 0.000
2.056 1.187 3.358
```

---

SiRuSe2 after structural relaxation. Source: Alexandria via LeMat-Bulk, functional PBEsol. Values from VASP.

Results
Space-group type ... P4/mmm, No. 123
Uncorrected formation energy ... 0.343 eV per atom
V ... 62.5 Å³/cell
Total magnetization ... 0.00 μB per atom
Uncorrected energy ... -22.2 eV per formula unit
Crystal system ... tetragonal

Structure (Quantum ESPRESSO input):
```
&SYSTEM
  ibrav = 0, nat = 4, ntyp = 3
/
ATOMIC_SPECIES
Ru 101.07 Ru.upf
Se 78.96 Se.upf
Si 28.09 Si.upf
ATOMIC_POSITIONS crystal
Ru 0.500 0.000 0.000
Se 0.000 0.000 0.500
Se 0.000 0.500 0.000
Si 0.500 0.500 0.500
CELL_PARAMETERS angstrom
3.011 0.000 0.000
0.000 4.558 0.000
0.000 0.000 4.558
```

---

SiRuSe2 after structural relaxation. Source: Alexandria via LeMat-Bulk, functional PBEsol. Values from VASP.

Results
Space-group type ... I-42d, No. 122
Uncorrected formation energy ... 0.263 eV per atom
V ... 171.1 Å³/cell
Total magnetization ... 0.00 μB per atom
Uncorrected energy ... -22.6 eV per formula unit
Crystal system ... tetragonal

Structure (Quantum ESPRESSO input):
```
&SYSTEM
  ibrav = 0, nat = 8, ntyp = 3
/
ATOMIC_SPECIES
Ru 101.07 Ru.upf
Si 28.09 Si.upf
Se 78.96 Se.upf
ATOMIC_POSITIONS crystal
Ru 0.250 0.750 0.500
Ru 0.000 0.000 0.000
Si 0.750 0.250 0.500
Si 0.500 0.500 0.000
Se 0.362 0.875 0.250
Se 0.888 0.375 0.250
Se 0.125 0.112 0.750
Se 0.625 0.638 0.750
CELL_PARAMETERS angstrom
-2.087 -3.613 3.649
3.966 1.368 3.623
-4.216 5.115 -1.557
```

---

ZnSi2RuSe after structural relaxation. Source: Alexandria via LeMat-Bulk, functional PBEsol. Values from VASP.

Results
Space-group type ... P4/mmm, No. 123
Uncorrected formation energy ... 1.451 eV per atom
V ... 96.9 Å³/cell
Total magnetization ... 0.25 μB per atom
Uncorrected energy ... -19.8 eV per formula unit
Crystal system ... tetragonal

Structure (Quantum ESPRESSO input):
```
&SYSTEM
  ibrav = 0, nat = 5, ntyp = 4
/
ATOMIC_SPECIES
Ru 101.07 Ru.upf
Zn 65.41 Zn.upf
Si 28.09 Si.upf
Se 78.96 Se.upf
ATOMIC_POSITIONS crystal
Ru 0.500 0.500 0.500
Zn 0.500 0.000 0.000
Si 0.000 0.000 0.500
Si 0.000 0.500 0.000
Se 0.000 0.000 0.000
CELL_PARAMETERS angstrom
-1.645 -1.814 -3.736
4.237 0.129 -1.929
0.892 -4.254 1.673
```

---

SrTaRu2Se after structural relaxation. Source: Alexandria via LeMat-Bulk, functional PBEsol. Values from VASP.

Results
Space-group type ... P4/mmm, No. 123
Uncorrected formation energy ... 2.851 eV per atom
V ... 111.4 Å³/cell
Total magnetization ... 0.28 μB per atom
Uncorrected energy ... -24.3 eV per formula unit
Crystal system ... tetragonal

Structure (Quantum ESPRESSO input):
```
&SYSTEM
  ibrav = 0, nat = 5, ntyp = 4
/
ATOMIC_SPECIES
Ru 101.07 Ru.upf
Se 78.96 Se.upf
Sr 87.62 Sr.upf
Ta 180.95 Ta.upf
ATOMIC_POSITIONS crystal
Ru 0.000 0.500 0.000
Ru 0.500 0.000 0.000
Se 0.500 0.500 0.500
Sr 0.000 0.000 0.000
Ta 0.000 0.000 0.500
CELL_PARAMETERS angstrom
-0.740 -2.239 -4.056
2.161 -3.800 1.704
-4.418 -1.725 1.758
```

---

TaRuSe3 after structural relaxation. Source: Alexandria via LeMat-Bulk, functional PBEsol. Values from VASP.

Results
Space-group type ... Pm-3m, No. 221
Uncorrected formation energy ... 0.880 eV per atom
V ... 103.8 Å³/cell
Total magnetization ... 0.22 μB per atom
Uncorrected energy ... -29.9 eV per formula unit
Crystal system ... cubic

Structure (Quantum ESPRESSO input):
```
&SYSTEM
  ibrav = 0, nat = 5, ntyp = 3
/
ATOMIC_SPECIES
Ru 101.07 Ru.upf
Se 78.96 Se.upf
Ta 180.95 Ta.upf
ATOMIC_POSITIONS crystal
Ru 0.000 0.000 0.000
Se 0.000 0.500 0.000
Se 0.000 0.000 0.500
Se 0.500 0.000 0.000
Ta 0.500 0.500 0.500
CELL_PARAMETERS angstrom
4.699 0.000 0.000
0.000 4.699 0.000
0.000 0.000 4.699
```

---

TaRuSe2 after structural relaxation. Source: Alexandria via LeMat-Bulk, functional PBEsol. Values from VASP.

Results
Space-group type ... P4mm, No. 99
Uncorrected formation energy ... -0.233 eV per atom
Energy above the lowest structure with this stoichiometry ... 0.0 meV/atom
V ... 77.7 Å³/cell
Total magnetization ... 0.12 μB per atom
Uncorrected energy ... -31.4 eV per formula unit
Crystal system ... tetragonal

Structure (Quantum ESPRESSO input):
```
&SYSTEM
  ibrav = 0, nat = 4, ntyp = 3
/
ATOMIC_SPECIES
Ru 101.07 Ru.upf
Se 78.96 Se.upf
Ta 180.95 Ta.upf
ATOMIC_POSITIONS crystal
Ru 0.500 0.500 0.718
Se 0.000 0.000 0.908
Se 0.500 0.500 0.341
Ta 0.000 0.000 0.534
CELL_PARAMETERS angstrom
3.438 0.000 0.000
0.000 3.438 0.000
0.000 0.000 6.572
```